## Tb3Pr4Nd3 (PBE-GGA)

Data for Tb3Pr4Nd3 after structural relaxation.

Cell lengths 3.8795, 9.5315, 9.5315 Å; angles 89.79, 90.00, 90.00 degrees
Atoms (fractional coordinates):
Pr: 0.0000 0.8678 0.8707
Tb: 0.5000 0.6694 0.6680
Nd: 0.5000 0.1685 0.8315
Tb: 0.5000 0.8305 0.1695
Tb: 0.5000 0.3320 0.3306
Nd: 0.0000 0.5035 0.0020
Pr: 0.0000 0.1293 0.1322
Pr: 0.0000 0.6296 0.3704
Pr: 0.0000 0.3714 0.6286
Nd: 0.0000 0.9980 0.4965

Space-group type ... Amm2 (38)
Magnetization ... 0.00 Bohr magnetons per cell
Energy relative to the elements ... 95 kJ/mol of formula units



## TbPr4Nd5 (PBE-GGA)

Data for TbPr4Nd5 after structural relaxation.

Cell lengths 3.6257, 11.3897, 9.0544 Å; angles 89.76, 101.90, 89.92 degrees
Atoms (fractional coordinates):
Nd: 0.8267 0.4433 0.6520
Pr: 0.3434 0.7498 0.6926
Pr: 0.9662 0.2483 0.9412
Pr: 0.6566 0.2502 0.3074
Nd: 0.1733 0.5567 0.3480
Nd: 0.8258 0.0535 0.6540
Pr: 0.0338 0.7517 0.0588
Nd: 0.1742 0.9465 0.3460
Tb: 0.5000 0.0000 0.0000
Nd: 0.5000 0.5000 0.0000

Space-group type ... P-1 (2)
Magnetization ... 0.00 Bohr magnetons per cell
Energy relative to the elements ... 159 kJ/mol of formula units



## TbPr3Nd (PBE-GGA)

Data for TbPr3Nd after structural relaxation.

Cell lengths 8.2184, 8.2184, 6.3019 Å; angles 90.00, 90.00, 59.93 degrees
Atoms (fractional coordinates):
Pr: 0.5980 0.1995 0.2500
Pr: 0.1995 0.5980 0.2500
Pr: 0.0000 0.0000 0.5000
Pr: 0.4020 0.8005 0.7500
Nd: 0.7996 0.7996 0.7500
Pr: 0.8005 0.4020 0.7500
Pr: 0.0000 0.0000 0.0000
Tb: 0.6687 0.6687 0.2500
Tb: 0.3313 0.3313 0.7500
Nd: 0.2004 0.2004 0.2500

Energy above the most stable polymorph in this dataset ... 135.4 meV/atom
Space-group type ... Cmcm (63)
Magnetization ... 0.00 Bohr magnetons per cell
Energy relative to the elements ... 152 kJ/mol of formula units



## Tb15PrNd4 (PBE-GGA)

Data for Tb15PrNd4 after structural relaxation.

Cell lengths 5.0868, 5.0868, 25.3217 Å; angles 90.00, 90.00, 90.00 degrees
Atoms (fractional coordinates):
Nd: 0.0000 0.0000 0.6000
Pr: 0.0000 0.0000 0.0000
Tb: 0.5000 0.0000 0.5000
Tb: 0.5000 0.5000 0.0000
Tb: 0.0000 0.5000 0.1004
Tb: 0.5000 0.5000 0.6000
Nd: 0.0000 0.0000 0.7998
Tb: 0.0000 0.5000 0.3001
Tb: 0.5000 0.5000 0.2002
Tb: 0.0000 0.5000 0.8996
Tb: 0.0000 0.5000 0.6999
Nd: 0.0000 0.0000 0.4000
Tb: 0.0000 0.5000 0.5000
Tb: 0.5000 0.0000 0.8996
Tb: 0.5000 0.0000 0.3001
Tb: 0.5000 0.5000 0.4000
Tb: 0.5000 0.0000 0.6999
Nd: 0.0000 0.0000 0.2002
Tb: 0.5000 0.5000 0.7998
Tb: 0.5000 0.0000 0.1004

Space-group type ... P4/mmm (123)
Magnetization ... 0.00 Bohr magnetons per cell
Energy relative to the elements ... 32 kJ/mol of formula units